1.
TaAsSe2Br | PBE | optimized geometry

Values from the calculation:
ΔE to the lowest computed polymorph in meV/atom: 0.0
E_form (uncorrected) in eV/atom: 0.022
Space group: P4/mmm (123)
Theoretical density in g/cm³: 6.4

abc: 4.9336 4.9336 5.2776
angles: 90.00 90.00 90.00
With the nearest neighbours (Å) after each atom.
Positions (direct):
As (0.0000, 0.0000, 0.5000)  2 Ta 2.64
Se (0.0000, 0.5000, 0.0000)  2 Ta 2.47
Se (0.5000, 0.0000, 0.0000)  2 Ta 2.47
Br (0.5000, 0.5000, 0.5000)  4 As 3.49, 8 Se 3.61
Ta (0.0000, 0.0000, 0.0000)  4 Se 2.47, 2 As 2.64

2.
Cs2SrReS | PBE | optimized geometry

Values from the calculation:
E_form (uncorrected) in eV/atom: 0.454
Space group: P4/mmm (123)
Theoretical density in g/cm³: 4.4

abc: 6.9684 4.4643 6.9684
angles: 90.00 90.00 90.00
With the nearest neighbours (Å) after each atom.
Positions (direct):
Cs (0.0000, 0.0000, 0.5000)  2 S 3.48
Cs (0.5000, 0.0000, 0.0000)  2 S 3.48
Re (0.0000, 0.5000, 0.0000)  2 S 2.23
S (0.0000, 0.0000, 0.0000)  2 Re 2.23
Sr (0.5000, 0.5000, 0.5000)  8 Cs 4.14, 2 Sr 4.46

3.
SiAsRu | PBE | optimized geometry

Values from the calculation:
ΔE to the lowest computed polymorph in meV/atom: 216.8
E_form (uncorrected) in eV/atom: -0.028
Space group: I4mm (107)
Theoretical density in g/cm³: 7.1

abc: 5.9865 5.9865 5.9865
angles: 151.83 151.83 40.26
With the nearest neighbours (Å) after each atom.
Positions (direct):
As (0.9752, 0.9752, 0.0000)  4 Ru 2.65, 4 As 2.91
Ru (0.3276, 0.3276, 0.0000)  4 Si 2.53, 4 As 2.65
Si (0.6972, 0.6972, 0.0000)  4 Ru 2.53

4.
Tb6AgRu | PBE | optimized geometry

Values from the calculation:
Space group: I4/mmm (139)
Theoretical density in g/cm³: 8.8
ΔE_f in meV/atom: -125

abc: 5.0448 5.0448 9.3157
angles: 74.29 74.28 90.00
With the nearest neighbours (Å) after each atom.
Positions (direct):
Tb (0.7531, 0.7528, 0.4943)  12 Tb 3.57-3.66
Tb (0.5984, 0.0985, 0.8031)  2 Ru 3.04, 2 Ag 3.04, 1 Tb 3.39
Tb (0.0987, 0.5985, 0.8031)  2 Ag 3.04, 2 Ru 3.04, 1 Tb 3.39
Tb (0.4016, 0.9015, 0.1969)  2 Ru 3.04, 2 Ag 3.04, 1 Tb 3.39
Tb (0.2469, 0.2472, 0.5057)  12 Tb 3.57-3.66
Tb (0.9013, 0.4015, 0.1969)  2 Ag 3.04, 2 Ru 3.04, 1 Tb 3.39
Ag (0.5000, 0.5000, 0.0000)  8 Tb 3.04
Ru (0.0000, 0.0000, 0.0000)  8 Tb 3.04

5.
ErTm10Sc4 | PBE | optimized geometry

Values from the calculation:
Space group: I4/m (87)
Theoretical density in g/cm³: 7.0
ΔE_f in meV/atom: 574

abc: 9.0434 8.5896 8.5896
angles: 73.91 58.24 58.24
With the nearest neighbours (Å) after each atom.
Positions (direct):
Er (0.0000, 0.0000, 0.0000)  8 Tm 3.00
Tm (0.2500, 0.5000, 0.5000)  4 Tm 3.31, 4 Sc 3.56
Tm (0.6955, 0.3313, 0.9119)  1 Er 3.00, 3 Tm 3.03-3.31, 1 Sc 3.31
Tm (0.9732, 0.0881, 0.3313)  1 Er 3.00, 3 Tm 3.03-3.31, 1 Sc 3.31
Tm (0.3926, 0.9119, 0.6687)  1 Er 3.00, 3 Tm 3.03-3.31, 1 Sc 3.31
Tm (0.9387, 0.6687, 0.0881)  1 Er 3.00, 3 Tm 3.03-3.31, 1 Sc 3.31
Tm (0.3045, 0.6687, 0.0881)  1 Er 3.00, 3 Tm 3.03-3.31, 1 Sc 3.31
Tm (0.7500, 0.5000, 0.5000)  4 Tm 3.31, 4 Sc 3.56
Tm (0.0613, 0.3313, 0.9119)  1 Er 3.00, 3 Tm 3.03-3.31, 1 Sc 3.31
Tm (0.6074, 0.0881, 0.3313)  1 Er 3.00, 3 Tm 3.03-3.31, 1 Sc 3.31
Tm (0.0268, 0.9119, 0.6687)  1 Er 3.00, 3 Tm 3.03-3.31, 1 Sc 3.31
Sc (0.4636, 0.8006, 0.2723)  8 Tm 3.31-3.58, 2 Sc 3.49
Sc (0.7359, 0.7277, 0.8006)  8 Tm 3.31-3.58, 2 Sc 3.49
Sc (0.2641, 0.2723, 0.1994)  8 Tm 3.31-3.58, 2 Sc 3.49
Sc (0.5364, 0.1994, 0.7277)  8 Tm 3.31-3.58, 2 Sc 3.49

6.
SbMoAu3 | PBE | optimized geometry

Values from the calculation:
E_form (uncorrected) in eV/atom: 1.117
Space group: Pm-3m (221)
Theoretical density in g/cm³: 9.7

abc: 5.1771 5.1771 5.1771
angles: 90.00 90.00 90.00
With the nearest neighbours (Å) after each atom.
Positions (direct):
Sb (0.0000, 0.0000, 0.0000)  6 Au 2.59
Mo (0.5000, 0.5000, 0.5000)  12 Au 3.66
Au (0.0000, 0.5000, 0.0000)  2 Sb 2.59
Au (0.0000, 0.0000, 0.5000)  2 Sb 2.59
Au (0.5000, 0.0000, 0.0000)  2 Sb 2.59

7.
La3ZrB2N6 | PBE | optimized geometry

Values from the calculation:
E_form (uncorrected) in eV/atom: -1.260
Space group: P-3m1 (164)
Theoretical density in g/cm³: 5.9

abc: 5.5770 5.5770 6.4458
angles: 90.00 90.00 120.00
With the nearest neighbours (Å) after each atom.
Positions (direct):
La (0.3333, 0.6667, 0.6661)  1 B 2.61, 9 N 2.81-2.82
La (0.6667, 0.3333, 0.3339)  1 B 2.61, 9 N 2.81-2.82
La (0.0000, 0.0000, 0.0000)  6 N 2.58
Zr (0.0000, 0.0000, 0.5000)  6 N 2.21
B (0.6667, 0.3333, 0.7395)  3 N 1.47
B (0.3333, 0.6667, 0.2605)  3 N 1.47
N (0.6348, 0.8174, 0.2922)  1 B 1.47
N (0.1826, 0.3652, 0.2922)  1 B 1.47
N (0.1826, 0.8174, 0.2922)  1 B 1.47
N (0.8174, 0.6348, 0.7078)  1 B 1.47
N (0.3652, 0.1826, 0.7078)  1 B 1.47
N (0.8174, 0.1826, 0.7078)  1 B 1.47

8.
NdHo2PuO8 | PBE | optimized geometry

Values from the calculation:
E_form (uncorrected) in eV/atom: -3.058
Space group: Cmmm (65)
Theoretical density in g/cm³: 7.6

abc: 5.1102 5.1136 7.0716
angles: 90.00 90.00 90.15
With the nearest neighbours (Å) after each atom.
Positions (direct):
Nd (0.0000, 0.0000, 0.5000)  6 O 2.29-2.43
Ho (0.5000, 0.5000, 0.7425)  6 O 2.17-2.42
Ho (0.5000, 0.5000, 0.2575)  6 O 2.17-2.42
Pu (0.0000, 0.0000, 0.0000)  6 O 2.01-2.04
O (0.1870, 0.8127, 0.2150)  1 Pu 2.04
O (0.7213, 0.7218, 0.0000)  1 Pu 2.01
O (0.8130, 0.1872, 0.2150)  1 Pu 2.04
O (0.8130, 0.1873, 0.7850)  1 Pu 2.04
O (0.2787, 0.2782, 0.0000)  1 Pu 2.01
O (0.1870, 0.8128, 0.7850)  1 Pu 2.04
O (0.6834, 0.6833, 0.5000)  2 Ho 2.17, 1 Nd 2.29
O (0.3166, 0.3167, 0.5000)  2 Ho 2.17, 1 Nd 2.29